[1]
# Pm6Sm3Dy2Tl, optimized geometry, DFT GGA-PBE
# - Total DFT energy (no corrections): -4.53 eV/atom
# - Formation enthalpy at 0 K: -0.0118 eV/atom
data_Pm6Sm3Dy2Tl
_space_group_name_H-M_alt 'P 1'
_space_group_IT_number 1
_cell_length_a 6.243
_cell_length_b 6.243
_cell_length_c 11.839
_cell_angle_alpha 95.13
_cell_angle_beta 95.13
_cell_angle_gamma 120.19
loop_
_space_group_symop_operation_xyz
'x,y,z'
loop_
_atom_site_label
_atom_site_fract_x
_atom_site_fract_y
_atom_site_fract_z
Pm1 0.408 0.081 0.245
Pm2 0.754 0.754 0.247
Pm3 0.246 0.246 0.753
Pm4 0.592 0.919 0.755
Pm5 0.081 0.408 0.245
Pm6 0.919 0.592 0.755
Sm1 0.500 0.500 0.500
Sm2 0.168 0.832 0.500
Sm3 0.832 0.168 0.500
Dy1 0.666 0.334 0.000
Dy2 0.334 0.666 0.000
Tl1 0.000 0.000 0.000

---

[2]
# LiCa2Br, optimized geometry, DFT GGA-PBE
# - Total DFT energy (no corrections): -2.41 eV/atom
# - Uncorrected formation energy: -2.03 eV/f.u.
# - Polymorph energy (0 for the lowest one): 0.128 eV per atom
data_LiCa2Br
_space_group_name_H-M_alt 'P 1'
_space_group_IT_number 1
_cell_length_a 4.412
_cell_length_b 4.423
_cell_length_c 6.503
_cell_angle_alpha 90.00
_cell_angle_beta 90.00
_cell_angle_gamma 90.00
loop_
_space_group_symop_operation_xyz
'x,y,z'
loop_
_atom_site_label
_atom_site_fract_x
_atom_site_fract_y
_atom_site_fract_z
Li1 0.000 0.000 0.396
Br1 0.500 0.500 0.851
Ca1 0.000 0.000 0.905
Ca2 0.500 0.500 0.349